Entry 1:
DFT (meta-GGA SCAN) results for a PBEsol-optimized structure of KCa2SnI.

Results
Space group: P4/mmm (123)
Formation energy without anion corrections: -0.570 eV per atom
Size of the total moment: 0.00 Bohr magnetons per cell
E_tot: -20.6335 eV/atom

Unit cell a=5.908 b=5.908 c=6.575 alpha=90.00 beta=90.00 gamma=90.00
Positions (direct):
K (0.000, 0.000, 0.000)
Ca (0.000, 0.500, 0.500)
Ca (0.500, 0.000, 0.500)
Sn (0.000, 0.000, 0.500)
I (0.500, 0.500, 0.000)


Entry 2:
DFT (meta-GGA SCAN) results for a PBEsol-optimized structure of Li5Nb7S14.

Results
Space group: C2/c (15)
Formation energy without anion corrections: -1.420 eV per atom
Size of the total moment: 0.00 Bohr magnetons per cell
E_tot: -15.9835 eV/atom

Unit cell a=12.018 b=12.018 c=16.247 alpha=126.71 beta=126.71 gamma=27.79
Positions (direct):
Li (0.000, 0.500, 0.500)
Li (0.074, 0.574, 0.000)
Li (0.214, 0.716, 0.000)
Li (0.284, 0.786, 0.500)
Li (0.426, 0.926, 0.500)
Li (0.500, 0.000, 0.000)
Li (0.574, 0.074, 0.500)
Li (0.716, 0.214, 0.500)
Li (0.786, 0.284, 0.000)
Li (0.926, 0.426, 0.000)
Nb (0.036, 0.535, 0.250)
Nb (0.109, 0.605, 0.750)
Nb (0.180, 0.677, 0.250)
Nb (0.250, 0.750, 0.750)
Nb (0.323, 0.820, 0.250)
Nb (0.395, 0.891, 0.750)
Nb (0.465, 0.964, 0.250)
Nb (0.535, 0.036, 0.750)
Nb (0.605, 0.109, 0.250)
Nb (0.677, 0.180, 0.750)
Nb (0.750, 0.250, 0.250)
Nb (0.820, 0.323, 0.750)
Nb (0.891, 0.395, 0.250)
Nb (0.964, 0.465, 0.750)
S (0.007, 0.175, 0.629)
S (0.030, 0.867, 0.128)
S (0.111, 0.279, 0.873)
S (0.133, 0.970, 0.372)
S (0.149, 0.316, 0.628)
S (0.175, 0.007, 0.129)
S (0.257, 0.419, 0.872)
S (0.279, 0.111, 0.373)
S (0.292, 0.461, 0.627)
S (0.316, 0.149, 0.128)
S (0.397, 0.566, 0.872)
S (0.419, 0.257, 0.372)
S (0.434, 0.603, 0.628)
S (0.461, 0.292, 0.127)
S (0.539, 0.708, 0.873)
S (0.566, 0.397, 0.372)
S (0.581, 0.743, 0.628)
S (0.603, 0.434, 0.128)
S (0.684, 0.851, 0.872)
S (0.708, 0.539, 0.373)
S (0.721, 0.889, 0.627)
S (0.743, 0.581, 0.128)
S (0.825, 0.993, 0.871)
S (0.851, 0.684, 0.372)
S (0.867, 0.030, 0.628)
S (0.889, 0.721, 0.127)
S (0.970, 0.133, 0.872)
S (0.993, 0.825, 0.371)


Entry 3:
DFT (meta-GGA SCAN) results for a PBEsol-optimized structure of MnCSe3.

Results
Space group: Pm-3m (221)
Formation energy without anion corrections: 0.883 eV per atom
Size of the total moment: 4.58 Bohr magnetons per cell
E_tot: -16.8347 eV/atom

Unit cell a=4.358 b=4.358 c=4.358 alpha=90.00 beta=90.00 gamma=90.00
Positions (direct):
Mn (0.000, 0.000, 0.000)
C (0.500, 0.500, 0.500)
Se (0.000, 0.500, 0.500)
Se (0.500, 0.000, 0.500)
Se (0.500, 0.500, 0.000)


Entry 4:
DFT (meta-GGA SCAN) results for a PBEsol-optimized structure of TaAg2Se.

Results
Space group: Pmmm (47)
Formation energy without anion corrections: 0.325 eV per atom
Size of the total moment: 0.00 Bohr magnetons per cell
E_tot: -37.0237 eV/atom

Unit cell a=3.098 b=4.402 c=5.036 alpha=90.00 beta=90.00 gamma=90.00
Positions (direct):
Ta (0.000, 0.000, 0.000)
Ag (0.000, 0.500, 0.500)
Ag (0.500, 0.000, 0.500)
Se (0.500, 0.500, 0.000)


Entry 5:
DFT (meta-GGA SCAN) results for a PBEsol-optimized structure of BePbSe.

Results
Space group: Fmm2 (42)
Formation energy without anion corrections: -0.062 eV per atom
Size of the total moment: 0.00 Bohr magnetons per cell
E_tot: -33.4666 eV/atom

Unit cell a=6.662 b=6.193 c=3.587 alpha=81.15 beta=66.70 gamma=32.14
Positions (direct):
Be (0.000, 0.000, 0.000)
Pb (0.675, 0.675, 0.325)
Se (0.413, 0.413, 0.587)


Entry 6:
DFT (meta-GGA SCAN) results for a PBEsol-optimized structure of BaScZn2.

Results
Space group: Imm2 (44)
DFT formation energy: 2.3 kJ/mol of atoms
Size of the total moment: 0.00 Bohr magnetons per cell
E_tot: -20.1801 eV/atom

Unit cell a=6.088 b=6.088 c=6.088 alpha=147.57 beta=128.75 gamma=61.97
Positions (direct):
Ba (0.000, 0.000, 0.000)
Sc (0.310, 0.810, 0.500)
Zn (0.549, 0.549, 0.000)
Zn (0.731, 0.231, 0.500)


Entry 7:
DFT (meta-GGA SCAN) results for a PBEsol-optimized structure of Sc2ZnSe.

Results
Space group: C2/m (12)
Formation energy without anion corrections: -0.773 eV per atom
Size of the total moment: 0.96 Bohr magnetons per cell
E_tot: -16.2896 eV/atom

Unit cell a=4.748 b=4.748 c=3.303 alpha=90.08 beta=90.08 gamma=100.93
Positions (direct):
Sc (0.000, 0.500, 0.000)
Sc (0.500, 0.000, 0.000)
Zn (0.000, 0.000, 0.500)
Se (0.500, 0.500, 0.500)


Entry 8:
DFT (meta-GGA SCAN) results for a PBEsol-optimized structure of K3PS.

Results
Space group: Pm-3m (221)
Formation energy without anion corrections: -0.388 eV per atom
Size of the total moment: 2.00 Bohr magnetons per cell
E_tot: -9.3906 eV/atom

Unit cell a=5.897 b=5.897 c=5.897 alpha=90.00 beta=90.00 gamma=90.00
Positions (direct):
K (0.000, 0.000, 0.500)
K (0.000, 0.500, 0.000)
K (0.500, 0.000, 0.000)
P (0.500, 0.500, 0.500)
S (0.000, 0.000, 0.000)


Entry 9:
DFT (meta-GGA SCAN) results for a PBEsol-optimized structure of MgIn2Ru.

Results
Space group: Cmmm (65)
DFT formation energy: 5.0 kJ/mol of atoms
Size of the total moment: 0.00 Bohr magnetons per cell
E_tot: -26.5913 eV/atom

Unit cell a=4.777 b=4.777 c=3.256 alpha=90.00 beta=90.00 gamma=103.50
Positions (direct):
Mg (0.000, 0.000, 0.000)
In (0.000, 0.500, 0.500)
In (0.500, 0.000, 0.500)
Ru (0.500, 0.500, 0.000)


Entry 10:
DFT (meta-GGA SCAN) results for a PBEsol-optimized structure of CuSbRh2.

Results
Space group: Cm (8)
Formation energy without anion corrections: -0.115 eV per atom
Size of the total moment: 0.00 Bohr magnetons per cell
E_tot: -30.1158 eV/atom

Unit cell a=4.862 b=4.862 c=4.394 alpha=105.82 beta=105.82 gamma=36.43
Positions (direct):
Cu (0.000, 0.000, 0.000)
Sb (0.746, 0.746, 0.360)
Rh (0.260, 0.260, 0.876)
Rh (0.490, 0.490, 0.502)


Entry 11:
DFT (meta-GGA SCAN) results for a PBEsol-optimized structure of BaNb2Ru.

Results
Space group: Fm-3m (225)
DFT formation energy: 87.0 kJ/mol of atoms
Size of the total moment: 0.00 Bohr magnetons per cell
E_tot: -34.2575 eV/atom

Unit cell a=4.747 b=4.747 c=4.747 alpha=60.00 beta=60.00 gamma=60.00
Positions (direct):
Ba (0.000, 0.000, 0.000)
Nb (0.250, 0.250, 0.250)
Nb (0.750, 0.750, 0.750)
Ru (0.500, 0.500, 0.500)


Entry 12:
DFT (meta-GGA SCAN) results for a PBEsol-optimized structure of TlNi2Pt.

Results
Space group: Fm-3m (225)
DFT formation energy: 14.9 kJ/mol of atoms
Size of the total moment: 0.00 Bohr magnetons per cell
E_tot: -43.5698 eV/atom

Unit cell a=4.300 b=4.300 c=4.300 alpha=60.00 beta=60.00 gamma=60.00
Positions (direct):
Tl (0.000, 0.000, 0.000)
Ni (0.250, 0.250, 0.250)
Ni (0.750, 0.750, 0.750)
Pt (0.500, 0.500, 0.500)


Entry 13:
DFT (meta-GGA SCAN) results for a PBEsol-optimized structure of CoSi2O.

Results
Space group: I-42d (122)
Formation energy without anion corrections: -0.316 eV per atom
Size of the total moment: 0.00 Bohr magnetons per cell
E_tot: -11.2081 eV/atom

Unit cell a=5.476 b=5.476 c=5.476 alpha=126.21 beta=126.21 gamma=79.54
Positions (direct):
Co (0.000, 0.000, 0.000)
Co (0.750, 0.250, 0.500)
Si (0.153, 0.625, 0.028)
Si (0.375, 0.403, 0.528)
Si (0.597, 0.125, 0.972)
Si (0.875, 0.847, 0.472)
O (0.250, 0.750, 0.500)
O (0.500, 0.500, 0.000)